The following is a DFT calculation (PBE) of a relaxed structure of In2AgHg2.

```
5
Lattice="6.972 0.517 0.060 0.181 5.254 -2.571 -0.168 -4.787 5.692" Properties=species:S:1:pos:R:3 pbc="T T T"
In 2.435 -0.740 1.723
In 4.550 1.724 1.457
Ag 0.000 0.000 0.000
Hg 5.724 3.926 -0.586
Hg 1.262 -2.942 3.766
```

Computed properties:
**D(E_F)**: 1.46 states/eV/f.u.
**Size of the total moment**: 0.000 μB per atom
**Distance to the lowest polymorph of the same formula**: 0.0 kJ/mol of atoms
**SG**: P-1 (2)
**ΔE_f**: 32.4 meV/atom